1.
# Sr2CoH (GGA-PBE, relaxed)
# Energy   -3.041 eV per atom
# DOS(E_F)   0.692 states/eV per atom
data_Sr2CoH
_chemical_formula_sum 'Sr8 Co4 H4'
_symmetry_space_group_name_H-M 'F m -3 m'
_symmetry_Int_Tables_number 225
_symmetry_space_group_name_Hall '-F 4 2 3'
_cell_length_a 7.146
_cell_length_b 7.146
_cell_length_c 7.146
_cell_angle_alpha 90.00
_cell_angle_beta 90.00
_cell_angle_gamma 90.00
loop_
_atom_site_label
_atom_site_type_symbol
_atom_site_fract_x
_atom_site_fract_y
_atom_site_fract_z
_atom_site_occupancy
Sr1 Sr 0.250 0.250 0.250 1
Co1 Co 0.000 0.000 0.000 1
H1 H 0.000 0.000 0.500 1

---

2.
# FeRhSe2 (GGA-PBE, relaxed)
# Energy   -5.760 eV per atom
# Uncorrected formation energy   -0.06 eV per atom
# DOS(E_F)   0.902 states/eV per atom
data_FeRhSe2
_chemical_formula_sum 'Fe4 Rh4 Se8'
_symmetry_space_group_name_H-M 'I -4 2 d'
_symmetry_Int_Tables_number 122
_symmetry_space_group_name_Hall 'I -4 2bw'
_cell_length_a 5.499
_cell_length_b 5.499
_cell_length_c 11.019
_cell_angle_alpha 90.00
_cell_angle_beta 90.00
_cell_angle_gamma 90.00
loop_
_atom_site_label
_atom_site_type_symbol
_atom_site_fract_x
_atom_site_fract_y
_atom_site_fract_z
_atom_site_occupancy
Fe1 Fe 0.000 0.000 0.000 1
Rh1 Rh 0.000 0.000 0.500 1
Se1 Se 0.238 0.250 0.125 1

---

3.
# Tb2PmNd6Tm3 (GGA-PBE, relaxed)
# Energy   -4.655 eV per atom
# DOS(E_F)   1.130 states/eV per atom
data_Tb2PmNd6Tm3
_chemical_formula_sum 'Tb4 Pm2 Nd12 Tm6'
_symmetry_space_group_name_H-M 'C 1 2/m 1'
_symmetry_Int_Tables_number 12
_symmetry_space_group_name_Hall '-C 2y'
_cell_length_a 6.272
_cell_length_b 10.862
_cell_length_c 11.851
_cell_angle_alpha 90.00
_cell_angle_beta 100.12
_cell_angle_gamma 90.00
loop_
_atom_site_label
_atom_site_type_symbol
_atom_site_fract_x
_atom_site_fract_y
_atom_site_fract_z
_atom_site_occupancy
Tb1 Tb 0.000 0.167 0.000 1
Pm1 Pm 0.000 0.500 0.000 1
Nd1 Nd 0.248 0.167 0.747 1
Nd2 Nd 0.249 0.500 0.747 1
Tm1 Tm 0.000 0.000 0.500 1
Tm2 Tm 0.000 0.333 0.500 1

---

4.
# DyHo2Ga4 (GGA-PBE, relaxed)
# Energy   -4.326 eV per atom
# DOS(E_F)   0.711 states/eV per atom
data_DyHo2Ga4
_chemical_formula_sum 'Dy2 Ho4 Ga8'
_symmetry_space_group_name_H-M 'I m m m'
_symmetry_Int_Tables_number 71
_symmetry_space_group_name_Hall '-I 2 2'
_cell_length_a 4.121
_cell_length_b 4.235
_cell_length_c 18.171
_cell_angle_alpha 90.00
_cell_angle_beta 90.00
_cell_angle_gamma 90.00
loop_
_atom_site_label
_atom_site_type_symbol
_atom_site_fract_x
_atom_site_fract_y
_atom_site_fract_z
_atom_site_occupancy
Dy1 Dy 0.000 0.000 0.000 1
Ho1 Ho 0.000 0.500 0.315 1
Ga1 Ga 0.000 0.000 0.433 1
Ga2 Ga 0.000 0.500 0.147 1

---

5.
# YPaSn (GGA-PBE, relaxed)
# Energy   -6.504 eV per atom
# DOS(E_F)   2.036 states/eV per atom
data_YPaSn
_chemical_formula_sum 'Y1 Pa1 Sn1'
_symmetry_space_group_name_H-M 'P -6 m 2'
_symmetry_Int_Tables_number 187
_symmetry_space_group_name_Hall 'P -6 2'
_cell_length_a 5.2992
_cell_length_b 5.2992
_cell_length_c 3.1730
_cell_angle_alpha 90.00
_cell_angle_beta 90.00
_cell_angle_gamma 120.00
loop_
_atom_site_label
_atom_site_type_symbol
_atom_site_fract_x
_atom_site_fract_y
_atom_site_fract_z
_atom_site_occupancy
Y1 Y 0.0000 0.0000 0.0000 1
Pa1 Pa 0.3333 0.6667 0.0000 1
Sn1 Sn 0.6667 0.3333 0.5000 1

---

6.
# Sr2LiMg12Ag3 (GGA-PBE, relaxed)
# Energy   -1.644 eV per atom
# DOS(E_F)   0.610 states/eV per atom
data_Sr2LiMg12Ag3
_chemical_formula_sum 'Sr6 Li3 Mg36 Ag9'
_symmetry_space_group_name_H-M 'R -3 m'
_symmetry_Int_Tables_number 166
_symmetry_space_group_name_Hall '-R 3 2"'
_cell_length_a 9.7929
_cell_length_b 9.7929
_cell_length_c 19.8341
_cell_angle_alpha 90.00
_cell_angle_beta 90.00
_cell_angle_gamma 120.00
loop_
_atom_site_label
_atom_site_type_symbol
_atom_site_fract_x
_atom_site_fract_y
_atom_site_fract_z
_atom_site_occupancy
Sr1 Sr 0.0000 0.0000 0.0942 1
Li1 Li 0.0000 0.0000 0.5000 1
Mg1 Mg 0.0077 0.5038 0.8663 1
Mg2 Mg 0.0531 0.5265 0.3047 1
Ag1 Ag 0.0000 0.5000 0.0000 1

---

7.
# BeAs2AuBr (GGA-PBE, relaxed)
# Energy   -2.438 eV per atom
# Uncorrected formation energy   1.16 eV per atom
# DOS(E_F)   0.723 states/eV per atom
data_BeAs2AuBr
_chemical_formula_sum 'Be1 As2 Au1 Br1'
_symmetry_space_group_name_H-M 'P 4/m m m'
_symmetry_Int_Tables_number 123
_symmetry_space_group_name_Hall '-P 4 2'
_cell_length_a 5.060
_cell_length_b 5.060
_cell_length_c 5.327
_cell_angle_alpha 90.00
_cell_angle_beta 90.00
_cell_angle_gamma 90.00
loop_
_atom_site_label
_atom_site_type_symbol
_atom_site_fract_x
_atom_site_fract_y
_atom_site_fract_z
_atom_site_occupancy
Be1 Be 0.000 0.000 0.000 1
As1 As 0.000 0.500 0.500 1
Au1 Au 0.500 0.500 0.500 1
Br1 Br 0.500 0.500 0.000 1

---

8.
# Y3Cu4 (GGA-PBE, relaxed)
# Energy   -5.237 eV per atom
# DOS(E_F)   0.750 states/eV per atom
data_Y3Cu4
_chemical_formula_sum 'Y6 Cu8'
_symmetry_space_group_name_H-M 'I 4/m m m'
_symmetry_Int_Tables_number 139
_symmetry_space_group_name_Hall '-I 4 2'
_cell_length_a 3.448
_cell_length_b 3.448
_cell_length_c 23.712
_cell_angle_alpha 90.00
_cell_angle_beta 90.00
_cell_angle_gamma 90.00
loop_
_atom_site_label
_atom_site_type_symbol
_atom_site_fract_x
_atom_site_fract_y
_atom_site_fract_z
_atom_site_occupancy
Y1 Y 0.000 0.000 0.000 1
Y2 Y 0.000 0.000 0.309 1
Cu1 Cu 0.000 0.000 0.120 1
Cu2 Cu 0.000 0.000 0.429 1

---

9.
# LiNd3Pb12 (GGA-PBE, relaxed)
# Energy   -4.103 eV per atom
# DOS(E_F)   0.431 states/eV per atom
data_LiNd3Pb12
_chemical_formula_sum 'Li1 Nd3 Pb12'
_symmetry_space_group_name_H-M 'P 4/m m m'
_symmetry_Int_Tables_number 123
_symmetry_space_group_name_Hall '-P 4 2'
_cell_length_a 4.875
_cell_length_b 4.875
_cell_length_c 19.910
_cell_angle_alpha 90.00
_cell_angle_beta 90.00
_cell_angle_gamma 90.00
loop_
_atom_site_label
_atom_site_type_symbol
_atom_site_fract_x
_atom_site_fract_y
_atom_site_fract_z
_atom_site_occupancy
Li1 Li 0.000 0.000 0.000 1
Nd1 Nd 0.000 0.000 0.252 1
Nd2 Nd 0.000 0.000 0.500 1
Pb1 Pb 0.000 0.500 0.119 1
Pb2 Pb 0.000 0.500 0.374 1
Pb3 Pb 0.500 0.500 0.000 1
Pb4 Pb 0.500 0.500 0.245 1
Pb5 Pb 0.500 0.500 0.500 1

---

10.
# Fe2BiW2 (GGA-PBE, relaxed)
# Energy   -8.830 eV per atom
# DOS(E_F)   0.687 states/eV per atom
data_Fe2BiW2
_chemical_formula_sum 'Fe4 Bi2 W4'
_symmetry_space_group_name_H-M 'I 4/m m m'
_symmetry_Int_Tables_number 139
_symmetry_space_group_name_Hall '-I 4 2'
_cell_length_a 4.106
_cell_length_b 4.106
_cell_length_c 10.206
_cell_angle_alpha 90.00
_cell_angle_beta 90.00
_cell_angle_gamma 90.00
loop_
_atom_site_label
_atom_site_type_symbol
_atom_site_fract_x
_atom_site_fract_y
_atom_site_fract_z
_atom_site_occupancy
Fe1 Fe 0.000 0.000 0.121 1
Bi1 Bi 0.000 0.000 0.500 1
W1 W 0.000 0.500 0.250 1

---

11.
# La6MgRu (GGA-PBE, relaxed)
# Energy   -5.095 eV per atom
# DOS(E_F)   1.578 states/eV per atom
data_La6MgRu
_chemical_formula_sum 'La12 Mg2 Ru2'
_symmetry_space_group_name_H-M 'C 1 2/m 1'
_symmetry_Int_Tables_number 12
_symmetry_space_group_name_Hall '-C 2y'
_cell_length_a 8.532
_cell_length_b 10.361
_cell_length_c 6.698
_cell_angle_alpha 90.00
_cell_angle_beta 107.11
_cell_angle_gamma 90.00
loop_
_atom_site_label
_atom_site_type_symbol
_atom_site_fract_x
_atom_site_fract_y
_atom_site_fract_z
_atom_site_occupancy
La1 La 0.101 0.193 0.293 1
La2 La 0.207 0.500 0.094 1
Mg1 Mg 0.000 0.500 0.500 1
Ru1 Ru 0.000 0.000 0.000 1

---

12.
# PrBeAu3 (GGA-PBE, relaxed)
# Energy   -4.213 eV per atom
# DOS(E_F)   0.380 states/eV per atom
data_PrBeAu3
_chemical_formula_sum 'Pr2 Be2 Au6'
_symmetry_space_group_name_H-M 'C 1 m 1'
_symmetry_Int_Tables_number 8
_symmetry_space_group_name_Hall 'C -2y'
_cell_length_a 6.163
_cell_length_b 6.163
_cell_length_c 6.040
_cell_angle_alpha 90.00
_cell_angle_beta 120.44
_cell_angle_gamma 90.00
loop_
_atom_site_label
_atom_site_type_symbol
_atom_site_fract_x
_atom_site_fract_y
_atom_site_fract_z
_atom_site_occupancy
Pr1 Pr 0.000 0.000 0.000 1
Be1 Be 0.365 0.000 0.730 1
Au1 Au 0.019 0.250 0.536 1
Au2 Au 0.084 0.500 0.166 1

---

13.
# HgPOs (GGA-PBE, relaxed)
# Energy   -5.336 eV per atom
# DOS(E_F)   0.533 states/eV per atom
data_HgPOs
_chemical_formula_sum 'Hg1 P1 Os1'
_symmetry_space_group_name_H-M 'P 3 m 1'
_symmetry_Int_Tables_number 156
_symmetry_space_group_name_Hall 'P 3 -2"'
_cell_length_a 3.6336
_cell_length_b 3.6336
_cell_length_c 5.1872
_cell_angle_alpha 90.00
_cell_angle_beta 90.00
_cell_angle_gamma 120.00
loop_
_atom_site_label
_atom_site_type_symbol
_atom_site_fract_x
_atom_site_fract_y
_atom_site_fract_z
_atom_site_occupancy
Hg1 Hg 0.0000 0.0000 0.0000 1
P1 P 0.3333 0.6667 0.4548 1
Os1 Os 0.6667 0.3333 0.6145 1

---

14.
# ThRe2B4 (GGA-PBE, relaxed)
# Energy   -8.602 eV per atom
# DOS(E_F)   0.345 states/eV per atom
data_ThRe2B4
_chemical_formula_sum 'Th4 Re8 B16'
_symmetry_space_group_name_H-M 'C 1 2/c 1'
_symmetry_Int_Tables_number 15
_symmetry_space_group_name_Hall '-C 2yc'
_cell_length_a 11.772
_cell_length_b 5.687
_cell_length_c 5.770
_cell_angle_alpha 90.00
_cell_angle_beta 111.33
_cell_angle_gamma 90.00
loop_
_atom_site_label
_atom_site_type_symbol
_atom_site_fract_x
_atom_site_fract_y
_atom_site_fract_z
_atom_site_occupancy
Th1 Th 0.000 0.231 0.250 1
Re1 Re 0.241 0.427 0.173 1
B1 B 0.083 0.322 0.808 1
B2 B 0.139 0.108 0.016 1

---

15.
# PmTm6Mg (GGA-PBE, relaxed)
# Energy   -4.105 eV per atom
# DOS(E_F)   1.439 states/eV per atom
data_PmTm6Mg
_chemical_formula_sum 'Pm1 Tm6 Mg1'
_symmetry_space_group_name_H-M 'P 4/m m m'
_symmetry_Int_Tables_number 123
_symmetry_space_group_name_Hall '-P 4 2'
_cell_length_a 6.907
_cell_length_b 6.907
_cell_length_c 4.996
_cell_angle_alpha 90.00
_cell_angle_beta 90.00
_cell_angle_gamma 90.00
loop_
_atom_site_label
_atom_site_type_symbol
_atom_site_fract_x
_atom_site_fract_y
_atom_site_fract_z
_atom_site_occupancy
Pm1 Pm 0.000 0.000 0.000 1
Tm1 Tm 0.000 0.500 0.000 1
Tm2 Tm 0.248 0.248 0.500 1
Mg1 Mg 0.500 0.500 0.000 1

---

16.
# La5Tl4Cd (GGA-PBE, relaxed)
# Energy   -3.911 eV per atom
# DOS(E_F)   1.035 states/eV per atom
data_La5Tl4Cd
_chemical_formula_sum 'La5 Tl4 Cd1'
_symmetry_space_group_name_H-M 'P 4/m m m'
_symmetry_Int_Tables_number 123
_symmetry_space_group_name_Hall '-P 4 2'
_cell_length_a 3.853
_cell_length_b 3.853
_cell_length_c 21.113
_cell_angle_alpha 90.00
_cell_angle_beta 90.00
_cell_angle_gamma 90.00
loop_
_atom_site_label
_atom_site_type_symbol
_atom_site_fract_x
_atom_site_fract_y
_atom_site_fract_z
_atom_site_occupancy
La1 La 0.000 0.000 0.000 1
La2 La 0.000 0.000 0.203 1
La3 La 0.000 0.000 0.404 1
Tl1 Tl 0.500 0.500 0.102 1
Tl2 Tl 0.500 0.500 0.306 1
Cd1 Cd 0.500 0.500 0.500 1

---

17.
# GeWSCl2 (GGA-PBE, relaxed)
# Energy   -4.127 eV per atom
# Uncorrected formation energy   0.95 eV per atom
# DOS(E_F)   1.103 states/eV per atom
data_GeWSCl2
_chemical_formula_sum 'Ge1 W1 S1 Cl2'
_symmetry_space_group_name_H-M 'P 4/m m m'
_symmetry_Int_Tables_number 123
_symmetry_space_group_name_Hall '-P 4 2'
_cell_length_a 4.817
_cell_length_b 4.817
_cell_length_c 5.066
_cell_angle_alpha 90.00
_cell_angle_beta 90.00
_cell_angle_gamma 90.00
loop_
_atom_site_label
_atom_site_type_symbol
_atom_site_fract_x
_atom_site_fract_y
_atom_site_fract_z
_atom_site_occupancy
Ge1 Ge 0.000 0.000 0.000 1
W1 W 0.500 0.500 0.500 1
S1 S 0.000 0.000 0.500 1
Cl1 Cl 0.000 0.500 0.000 1

---

18.
# CrGaIr (GGA-PBE, relaxed)
# Energy   -7.338 eV per atom
# DOS(E_F)   0.748 states/eV per atom
data_CrGaIr
_chemical_formula_sum 'Cr4 Ga4 Ir4'
_symmetry_space_group_name_H-M 'C 1 m 1'
_symmetry_Int_Tables_number 8
_symmetry_space_group_name_Hall 'C -2y'
_cell_length_a 8.886
_cell_length_b 3.841
_cell_length_c 5.330
_cell_angle_alpha 90.00
_cell_angle_beta 111.90
_cell_angle_gamma 90.00
loop_
_atom_site_label
_atom_site_type_symbol
_atom_site_fract_x
_atom_site_fract_y
_atom_site_fract_z
_atom_site_occupancy
Cr1 Cr 0.000 0.000 0.000 1
Cr2 Cr 0.149 0.500 0.848 1
Ga1 Ga 0.324 0.000 0.680 1
Ga2 Ga 0.485 0.500 0.485 1
Ir1 Ir 0.159 0.500 0.359 1
Ir2 Ir 0.315 0.000 0.151 1

---

19.
# KTl2Cd2 (GGA-PBE, relaxed)
# Energy   -1.586 eV per atom
# DOS(E_F)   0.504 states/eV per atom
data_KTl2Cd2
_chemical_formula_sum 'K4 Tl8 Cd8'
_symmetry_space_group_name_H-M 'P n m a'
_symmetry_Int_Tables_number 62
_symmetry_space_group_name_Hall '-P 2ac 2n'
_cell_length_a 9.672
_cell_length_b 5.054
_cell_length_c 13.261
_cell_angle_alpha 90.00
_cell_angle_beta 90.00
_cell_angle_gamma 90.00
loop_
_atom_site_label
_atom_site_type_symbol
_atom_site_fract_x
_atom_site_fract_y
_atom_site_fract_z
_atom_site_occupancy
K1 K 0.235 0.250 0.166 1
Tl1 Tl 0.111 0.250 0.452 1
Tl2 Tl 0.156 0.250 0.855 1
Cd1 Cd 0.023 0.750 0.331 1
Cd2 Cd 0.083 0.750 0.990 1

---

20.
# Fe2WBr (GGA-PBE, relaxed)
# Energy   -7.298 eV per atom
# Uncorrected formation energy   0.59 eV per atom
# DOS(E_F)   1.233 states/eV per atom
data_Fe2WBr
_chemical_formula_sum 'Fe2 W1 Br1'
_symmetry_space_group_name_H-M 'P 4/m m m'
_symmetry_Int_Tables_number 123
_symmetry_space_group_name_Hall '-P 4 2'
_cell_length_a 2.982
_cell_length_b 2.982
_cell_length_c 6.901
_cell_angle_alpha 90.00
_cell_angle_beta 90.00
_cell_angle_gamma 90.00
loop_
_atom_site_label
_atom_site_type_symbol
_atom_site_fract_x
_atom_site_fract_y
_atom_site_fract_z
_atom_site_occupancy
Fe1 Fe 0.000 0.000 0.229 1
W1 W 0.500 0.500 0.000 1
Br1 Br 0.500 0.500 0.500 1

---

21.
# YPaCdPb (GGA-PBE, relaxed)
# Energy   -5.142 eV per atom
# DOS(E_F)   2.362 states/eV per atom
data_YPaCdPb
_chemical_formula_sum 'Y4 Pa4 Cd4 Pb4'
_symmetry_space_group_name_H-M 'F -4 3 m'
_symmetry_Int_Tables_number 216
_symmetry_space_group_name_Hall 'F -4 2 3'
_cell_length_a 7.590
_cell_length_b 7.590
_cell_length_c 7.590
_cell_angle_alpha 90.00
_cell_angle_beta 90.00
_cell_angle_gamma 90.00
loop_
_atom_site_label
_atom_site_type_symbol
_atom_site_fract_x
_atom_site_fract_y
_atom_site_fract_z
_atom_site_occupancy
Y1 Y 0.000 0.000 0.000 1
Pa1 Pa 0.000 0.000 0.500 1
Cd1 Cd 0.250 0.250 0.750 1
Pb1 Pb 0.250 0.250 0.250 1

---

22.
# Ca2TmSi3Pt4 (GGA-PBE, relaxed)
# Energy   -5.879 eV per atom
# Uncorrected formation energy   -0.99 eV per atom
# DOS(E_F)   0.361 states/eV per atom
data_Ca2TmSi3Pt4
_chemical_formula_sum 'Ca2 Tm1 Si3 Pt4'
_symmetry_space_group_name_H-M 'P -4 m 2'
_symmetry_Int_Tables_number 115
_symmetry_space_group_name_Hall 'P -4 -2'
_cell_length_a 4.258
_cell_length_b 4.258
_cell_length_c 10.673
_cell_angle_alpha 90.00
_cell_angle_beta 90.00
_cell_angle_gamma 90.00
loop_
_atom_site_label
_atom_site_type_symbol
_atom_site_fract_x
_atom_site_fract_y
_atom_site_fract_z
_atom_site_occupancy
Ca1 Ca 0.000 0.500 0.231 1
Tm1 Tm 0.000 0.000 0.500 1
Si1 Si 0.000 0.500 0.882 1
Si2 Si 0.500 0.500 0.500 1
Pt1 Pt 0.000 0.000 0.000 1
Pt2 Pt 0.000 0.500 0.660 1
Pt3 Pt 0.500 0.500 0.000 1